1.
# Tb2Dy12Er5

Crystalline Tb2Dy12Er5 at its relaxed geometry (GGA-PBE, Alexandria via LeMat-Bulk).

Cell and atoms, written as CIF:
```
data_Tb2Dy12Er5
_cell_length_a 9.1410
_cell_length_b 9.0540
_cell_length_c 8.4675
_cell_angle_alpha 90.95
_cell_angle_beta 90.00
_cell_angle_gamma 120.32
_symmetry_space_group_name_H-M 'P 1'
_symmetry_Int_Tables_number 1
_symmetry_space_group_name_Hall 'P 1'
loop_
_atom_site_label
_atom_site_type_symbol
_atom_site_fract_x
_atom_site_fract_y
_atom_site_fract_z
Er1 Er 0.3017 0.6033 0.9877
Er2 Er 0.2318 0.4635 0.5736
Er3 Er 0.6983 0.3967 0.0123
Er4 Er 0.0000 0.0000 0.5000
Er5 Er 0.7682 0.5365 0.4264
Dy1 Dy 0.9732 0.3094 0.2422
Dy2 Dy 0.0910 0.1819 0.8837
Dy3 Dy 0.9090 0.8181 0.1163
Dy4 Dy 0.6638 0.6906 0.7578
Dy5 Dy 0.8200 0.2536 0.6613
Dy6 Dy 0.1800 0.7464 0.3387
Dy7 Dy 0.0268 0.6906 0.7578
Dy8 Dy 0.4415 0.8830 0.6654
Dy9 Dy 0.5585 0.1170 0.3346
Dy10 Dy 0.3362 0.3094 0.2422
Dy11 Dy 0.4336 0.2536 0.6613
Dy12 Dy 0.5664 0.7464 0.3387
Tb1 Tb 0.6779 0.0000 0.0000
Tb2 Tb 0.3221 0.0000 0.0000
```

Properties
Space group   No. 12
DOS(E_F)   28.02 states/eV per cell
ΔH_f (0 K)   129 meV/atom
Calculated total energy   -4.465 eV per atom

---

2.
# TiZnGa3

Crystalline TiZnGa3 at its relaxed geometry (GGA-PBE, Alexandria via LeMat-Bulk).

Cell and atoms, written as CIF:
```
data_TiZnGa3
_cell_length_a 2.8300
_cell_length_b 6.7896
_cell_length_c 9.0921
_cell_angle_alpha 94.61
_cell_angle_beta 99.00
_cell_angle_gamma 90.00
_symmetry_space_group_name_H-M 'P 1'
_symmetry_Int_Tables_number 1
_symmetry_space_group_name_Hall 'P 1'
loop_
_atom_site_label
_atom_site_type_symbol
_atom_site_fract_x
_atom_site_fract_y
_atom_site_fract_z
Ga1 Ga 0.9294 0.9738 0.0231
Ga2 Ga 0.8493 0.2940 0.8662
Ga3 Ga 0.0974 0.5411 0.3601
Ga4 Ga 0.1163 0.1805 0.3982
Ga5 Ga 0.1937 0.8606 0.5556
Ga6 Ga 0.9479 0.6133 0.0616
Zn1 Zn 0.8037 0.7410 0.7770
Zn2 Zn 0.2368 0.4119 0.6444
Ti1 Ti 0.5564 0.8601 0.2780
Ti2 Ti 0.4889 0.2942 0.1435
```

Properties
Space group   No. 5
DOS(E_F)   5.21 states/eV per cell
ΔH_f (0 K)   -190 meV/atom
Calculated total energy   -3.839 eV per atom

---

3.
# Li3FeRh

Crystalline Li3FeRh at its relaxed geometry (GGA-PBE, Alexandria via LeMat-Bulk).

Cell and atoms, written as CIF:
```
data_Li3FeRh
_cell_length_a 4.4785
_cell_length_b 4.4785
_cell_length_c 4.4785
_cell_angle_alpha 90.00
_cell_angle_beta 90.00
_cell_angle_gamma 90.00
_symmetry_space_group_name_H-M 'P 1'
_symmetry_Int_Tables_number 1
_symmetry_space_group_name_Hall 'P 1'
loop_
_atom_site_label
_atom_site_type_symbol
_atom_site_fract_x
_atom_site_fract_y
_atom_site_fract_z
Li1 Li 0.0000 0.0000 0.5000
Li2 Li 0.0000 0.5000 0.0000
Li3 Li 0.5000 0.0000 0.0000
Rh1 Rh 0.0000 0.0000 0.0000
Fe1 Fe 0.5000 0.5000 0.5000
```

Properties
Space group   No. 221
DOS(E_F)   4.30 states/eV per cell
ΔH_f (0 K)   766 meV/atom
Calculated total energy   -3.545 eV per atom

---

4.
# Te2MoNCl

Crystalline Te2MoNCl at its relaxed geometry (GGA-PBE, Alexandria via LeMat-Bulk).

Cell and atoms, written as CIF:
```
data_Te2MoNCl
_cell_length_a 5.3592
_cell_length_b 5.3592
_cell_length_c 3.3709
_cell_angle_alpha 90.00
_cell_angle_beta 90.00
_cell_angle_gamma 90.00
_symmetry_space_group_name_H-M 'P 1'
_symmetry_Int_Tables_number 1
_symmetry_space_group_name_Hall 'P 1'
loop_
_atom_site_label
_atom_site_type_symbol
_atom_site_fract_x
_atom_site_fract_y
_atom_site_fract_z
N1 N 0.0000 0.0000 0.5000
Cl1 Cl 0.0000 0.0000 0.0000
Te1 Te 0.0000 0.5000 0.0000
Te2 Te 0.5000 0.0000 0.0000
Mo1 Mo 0.5000 0.5000 0.5000
```

Properties
Space group   No. 123
E_form (uncorrected)   1716 meV/atom
DOS(E_F)   5.14 states/eV per cell
Calculated total energy   -3.741 eV per atom

---

5.
# BaZn3Pt

Crystalline BaZn3Pt at its relaxed geometry (GGA-PBE, Alexandria via LeMat-Bulk).

Cell and atoms, written as CIF:
```
data_BaZn3Pt
_cell_length_a 6.2125
_cell_length_b 6.1819
_cell_length_c 8.2964
_cell_angle_alpha 90.00
_cell_angle_beta 133.94
_cell_angle_gamma 90.00
_symmetry_space_group_name_H-M 'P 1'
_symmetry_Int_Tables_number 1
_symmetry_space_group_name_Hall 'P 1'
loop_
_atom_site_label
_atom_site_type_symbol
_atom_site_fract_x
_atom_site_fract_y
_atom_site_fract_z
Pt1 Pt 0.8584 0.7500 0.8778
Pt2 Pt 0.1416 0.2500 0.1222
Zn1 Zn 0.3361 0.7500 0.7380
Zn2 Zn 0.1634 0.4731 0.8650
Zn3 Zn 0.8366 0.9731 0.1350
Zn4 Zn 0.8366 0.5269 0.1350
Zn5 Zn 0.6639 0.2500 0.2620
Zn6 Zn 0.1634 0.0269 0.8650
Ba1 Ba 0.4457 0.2500 0.6341
Ba2 Ba 0.5543 0.7500 0.3659
```

Properties
Space group   No. 11
DOS(E_F)   4.62 states/eV per cell
ΔH_f (0 K)   -374 meV/atom
Calculated total energy   -2.731 eV per atom

---

6.
# SeSIO2

Crystalline SeSIO2 at its relaxed geometry (GGA-PBE, Alexandria via LeMat-Bulk).

Cell and atoms, written as CIF:
```
data_SeSIO2
_cell_length_a 3.8429
_cell_length_b 3.8429
_cell_length_c 8.0012
_cell_angle_alpha 90.00
_cell_angle_beta 90.00
_cell_angle_gamma 90.00
_symmetry_space_group_name_H-M 'P 1'
_symmetry_Int_Tables_number 1
_symmetry_space_group_name_Hall 'P 1'
loop_
_atom_site_label
_atom_site_type_symbol
_atom_site_fract_x
_atom_site_fract_y
_atom_site_fract_z
I1 I 0.0000 0.0000 0.5000
O1 O 0.0000 0.5000 0.0000
O2 O 0.5000 0.0000 0.0000
S1 S 0.5000 0.5000 0.5000
Se1 Se 0.0000 0.0000 0.0000
```

Properties
Space group   No. 123
E_form (uncorrected)   205 meV/atom
DOS(E_F)   4.44 states/eV per cell
Calculated total energy   -3.610 eV per atom

---

7.
# Zn2ReP

Crystalline Zn2ReP at its relaxed geometry (GGA-PBE, Alexandria via LeMat-Bulk).

Cell and atoms, written as CIF:
```
data_Zn2ReP
_cell_length_a 8.2992
_cell_length_b 8.2992
_cell_length_c 8.2992
_cell_angle_alpha 20.41
_cell_angle_beta 20.41
_cell_angle_gamma 20.41
_symmetry_space_group_name_H-M 'P 1'
_symmetry_Int_Tables_number 1
_symmetry_space_group_name_Hall 'P 1'
loop_
_atom_site_label
_atom_site_type_symbol
_atom_site_fract_x
_atom_site_fract_y
_atom_site_fract_z
Zn1 Zn 0.7528 0.7528 0.7528
Zn2 Zn 0.9979 0.9979 0.9979
P1 P 0.5075 0.5075 0.5075
Re1 Re 0.2418 0.2418 0.2418
```

Properties
Space group   No. 160
DOS(E_F)   2.57 states/eV per cell
ΔH_f (0 K)   26 meV/atom
Calculated total energy   -5.076 eV per atom

---

8.
# CeMgCd2Au4

Crystalline CeMgCd2Au4 at its relaxed geometry (GGA-PBE, Alexandria via LeMat-Bulk).

Cell and atoms, written as CIF:
```
data_CeMgCd2Au4
_cell_length_a 4.8562
_cell_length_b 4.8562
_cell_length_c 8.6352
_cell_angle_alpha 73.67
_cell_angle_beta 73.67
_cell_angle_gamma 60.00
_symmetry_space_group_name_H-M 'P 1'
_symmetry_Int_Tables_number 1
_symmetry_space_group_name_Hall 'P 1'
loop_
_atom_site_label
_atom_site_type_symbol
_atom_site_fract_x
_atom_site_fract_y
_atom_site_fract_z
Au1 Au 0.3864 0.3864 0.8409
Au2 Au 0.1293 0.1293 0.6120
Au3 Au 0.8707 0.8707 0.3880
Au4 Au 0.6136 0.6136 0.1591
Ce1 Ce 0.0000 0.0000 0.0000
Cd1 Cd 0.2491 0.2491 0.2526
Cd2 Cd 0.7509 0.7509 0.7474
Mg1 Mg 0.5000 0.5000 0.5000
```

Properties
Space group   No. 166
DOS(E_F)   6.54 states/eV per cell
ΔH_f (0 K)   -474 meV/atom
Calculated total energy   -3.282 eV per atom

---

9.
# BaAl2Hg

Crystalline BaAl2Hg at its relaxed geometry (GGA-PBE, Alexandria via LeMat-Bulk).

Cell and atoms, written as CIF:
```
data_BaAl2Hg
_cell_length_a 4.6107
_cell_length_b 4.6951
_cell_length_c 5.7945
_cell_angle_alpha 78.10
_cell_angle_beta 90.00
_cell_angle_gamma 90.00
_symmetry_space_group_name_H-M 'P 1'
_symmetry_Int_Tables_number 1
_symmetry_space_group_name_Hall 'P 1'
loop_
_atom_site_label
_atom_site_type_symbol
_atom_site_fract_x
_atom_site_fract_y
_atom_site_fract_z
Ba1 Ba 0.5000 0.2500 0.2500
Al1 Al 0.0000 0.5253 0.6258
Al2 Al 0.0000 0.9747 0.8742
Hg1 Hg 0.5000 0.7500 0.7500
```

Properties
Space group   No. 10
DOS(E_F)   2.21 states/eV per cell
ΔH_f (0 K)   -89 meV/atom
Calculated total energy   -2.516 eV per atom

---

10.
# AlSi3Mo

Crystalline AlSi3Mo at its relaxed geometry (GGA-PBE, Alexandria via LeMat-Bulk).

Cell and atoms, written as CIF:
```
data_AlSi3Mo
_cell_length_a 4.6568
_cell_length_b 4.6568
_cell_length_c 4.6568
_cell_angle_alpha 90.00
_cell_angle_beta 90.00
_cell_angle_gamma 90.00
_symmetry_space_group_name_H-M 'P 1'
_symmetry_Int_Tables_number 1
_symmetry_space_group_name_Hall 'P 1'
loop_
_atom_site_label
_atom_site_type_symbol
_atom_site_fract_x
_atom_site_fract_y
_atom_site_fract_z
Al1 Al 0.0000 0.0000 0.0000
Si1 Si 0.5000 0.0000 0.0000
Si2 Si 0.0000 0.0000 0.5000
Si3 Si 0.0000 0.5000 0.0000
Mo1 Mo 0.5000 0.5000 0.5000
```

Properties
Space group   No. 221
E_form (uncorrected)   1378 meV/atom
DOS(E_F)   2.98 states/eV per cell
Calculated total energy   -4.791 eV per atom